Compound: LaTb6Ce
Source: Alexandria
Functional: PBE-GGA
Structure: relaxed

Lattice parameters (Å, degrees): 5.0621 5.0621 10.1222 90.00 90.00 90.00
Last column: nearest neighbours and their distance in Å.
Fractional coordinates of all 8 atoms:
1 La 0.0000 0.0000 0.0000  12 Tb 3.58-3.62
2 Tb 0.0000 0.5000 0.2555  8 Tb 3.54-3.62, 2 Ce 3.54, 2 La 3.62
3 Tb 0.0000 0.5000 0.7445  8 Tb 3.54-3.62, 2 Ce 3.54, 2 La 3.62
4 Tb 0.5000 0.0000 0.2555  8 Tb 3.54-3.62, 2 Ce 3.54, 2 La 3.62
5 Tb 0.5000 0.0000 0.7445  8 Tb 3.54-3.62, 2 Ce 3.54, 2 La 3.62
6 Tb 0.5000 0.5000 0.0000  4 La 3.58, 8 Tb 3.62
7 Tb 0.5000 0.5000 0.5000  8 Tb 3.54, 4 Ce 3.58
8 Ce 0.0000 0.0000 0.5000  12 Tb 3.54-3.58

## Properties
E_form: 35 kJ/mol of formula units
Total DFT energy (no corrections): -0.176 Ha/atom